1.
! MnTl2Co PBE relaxed; values from VASP
&SYSTEM
  ibrav = 0, nat = 4, ntyp = 3
/
ATOMIC_SPECIES
Tl 204.38 Tl.upf
Mn 54.94 Mn.upf
Co 58.93 Co.upf
ATOMIC_POSITIONS angstrom
Tl 1.8149 1.8449 1.8626
Tl 0.0000 6.0335 4.8429
Mn 1.8149 3.9223 4.0638
Co 0.0000 3.9604 2.4943
CELL_PARAMETERS angstrom
3.6298 0.0000 0.0000
0.0000 4.2578 0.1294
0.0000 2.0466 5.1760
! volume	19.76	A^3/atom
! final energy	-4.7630	eV per atom
! size of the total moment	4.89	μB/f.u.
! E_form	0.489	eV/atom
! excess energy over the best structure of this formula in the dataset	0.110	eV per atom

2.
! MnTl3Co PBE relaxed; values from VASP
&SYSTEM
  ibrav = 0, nat = 5, ntyp = 3
/
ATOMIC_SPECIES
Tl 204.38 Tl.upf
Co 58.93 Co.upf
Mn 54.94 Mn.upf
ATOMIC_POSITIONS angstrom
Tl 2.5267 0.0000 0.0000
Tl 0.0000 0.0000 2.5267
Tl 0.0000 2.5267 0.0000
Co 0.0000 0.0000 0.0000
Mn 2.5267 2.5267 2.5267
CELL_PARAMETERS angstrom
5.0533 0.0000 0.0000
0.0000 5.0533 0.0000
0.0000 0.0000 5.0533
! volume	25.81	A^3/atom
! final energy	-4.0502	eV per atom
! size of the total moment	4.70	μB/f.u.
! E_form	0.625	eV/atom
! excess energy over the best structure of this formula in the dataset	0.000	eV per atom

Let's list DOS at the Fermi energy in order: 3.07, 5.65 states/eV/cell.